[1]
# V2CuWCl | Alexandria | PBE | optimized geometry
data_V2CuWCl
_cell_length_a 4.768
_cell_length_b 4.768
_cell_length_c 4.758
_cell_angle_alpha 90.00
_cell_angle_beta 90.00
_cell_angle_gamma 90.00
_space_group_name_H-M_alt 'P 4/m m m'
_space_group_IT_number 123
_space_group_name_Hall '-P 4 2'
loop_
_atom_site_label
_atom_site_fract_x
_atom_site_fract_y
_atom_site_fract_z
_atom_site_occupancy
V1 0.000 0.500 0.000 1
Cu1 0.000 0.000 0.500 1
W1 0.000 0.000 0.000 1
Cl1 0.500 0.500 0.500 1
# Energy (eV for the cell shown): -30.1
# E_form (uncorrected) (eV per atom): 1.41
# M_tot (Bohr magnetons per cell): 3.25



[2]
# LaMn3Ga | Alexandria | PBE | optimized geometry
data_LaMn3Ga
_cell_length_a 4.830
_cell_length_b 4.830
_cell_length_c 4.830
_cell_angle_alpha 90.00
_cell_angle_beta 90.00
_cell_angle_gamma 90.00
_space_group_name_H-M_alt 'P m -3 m'
_space_group_IT_number 221
_space_group_name_Hall '-P 4 2 3'
loop_
_atom_site_label
_atom_site_fract_x
_atom_site_fract_y
_atom_site_fract_z
_atom_site_occupancy
La1 0.000 0.000 0.000 1
Mn1 0.000 0.500 0.500 1
Ga1 0.500 0.500 0.500 1
# Energy (eV for the cell shown): -33.1
# M_tot (Bohr magnetons per cell): 10.77
# ΔE to the lowest computed polymorph (meV per atom): 0.0



Question: Among the records above, which one has the lowest M_tot?
Answer: V2CuWCl



Question: Which formula does entry 1 have?
Answer: V2CuWCl



Question: The highest energy belongs to which entry?
Answer: V2CuWCl



Copy entry 2 word for word.
# LaMn3Ga | Alexandria | PBE | optimized geometry
data_LaMn3Ga
_cell_length_a 4.830
_cell_length_b 4.830
_cell_length_c 4.830
_cell_angle_alpha 90.00
_cell_angle_beta 90.00
_cell_angle_gamma 90.00
_space_group_name_H-M_alt 'P m -3 m'
_space_group_IT_number 221
_space_group_name_Hall '-P 4 2 3'
loop_
_atom_site_label
_atom_site_fract_x
_atom_site_fract_y
_atom_site_fract_z
_atom_site_occupancy
La1 0.000 0.000 0.000 1
Mn1 0.000 0.500 0.500 1
Ga1 0.500 0.500 0.500 1
# Energy (eV for the cell shown): -33.1
# M_tot (Bohr magnetons per cell): 10.77
# ΔE to the lowest computed polymorph (meV per atom): 0.0